First-principles (PBEsol) data for a geometry-optimized Sc2ZnCd structure, as listed in Alexandria via LeMat-Bulk.

Computed properties:
The total energy comes out at -4.360 eV per atom.

Cell lengths 3.3701, 3.3701, 6.8523 Å; angles 90.00, 90.00, 90.00 degrees
Last column: nearest neighbours and their distance in Å.
Space group P4/mmm (No. 123)
Asymmetric unit:
Sc 0.0000 0.0000 0.2308 x2  4 Zn 2.86, 4 Cd 3.01, 1 Sc 3.16
Zn 0.5000 0.5000 0.0000 x1  8 Sc 2.86
Cd 0.5000 0.5000 0.5000 x1  8 Sc 3.01, 4 Cd 3.37